No. 1
Density functional theory data (SCAN) for a PBEsol-optimized structure of Y2ZnCd.

- energy of formation (meV per atom) = -187
- relative energy among the computed polymorphs (meV per atom) = 274.7
- DOS(E_F) (states/eV/f.u.) = 4.17
- total magnetic moment (μB per atom) = 0.00

abc: 5.031 3.604 6.149
angles: 90.00 113.63 90.00
Space group P2/m (No. 10)
Inequivalent atoms, fractional coordinates:
Y (0.000, 0.000, 0.000) x1
Y (0.000, 0.500, 0.500) x1
Zn (0.500, 0.000, 0.500) x1
Cd (0.500, 0.500, 0.000) x1



No. 2
Density functional theory data (SCAN) for a PBEsol-optimized structure of Y2ZnCd.

- energy of formation (meV per atom) = -462
- relative energy among the computed polymorphs (meV per atom) = 0.0
- DOS(E_F) (states/eV/f.u.) = 3.23
- total magnetic moment (μB per atom) = 0.00

abc: 7.219 7.219 7.219
angles: 90.00 90.00 90.00
Space group Fm-3m (No. 225)
Inequivalent atoms, fractional coordinates:
Y (0.250, 0.250, 0.250) x8
Zn (0.000, 0.000, 0.000) x4
Cd (0.000, 0.000, 0.500) x4



No. 3
Density functional theory data (SCAN) for a PBEsol-optimized structure of Y2ZnCd.

- energy of formation (meV per atom) = -460
- relative energy among the computed polymorphs (meV per atom) = 1.7
- DOS(E_F) (states/eV/f.u.) = 3.10
- total magnetic moment (μB per atom) = 0.00

abc: 3.610 5.103 5.103
angles: 90.00 90.00 90.00
Space group Pmm2 (No. 25)
Inequivalent atoms, fractional coordinates:
Y (0.000, 0.000, 0.000) x1
Y (0.000, 0.500, 0.499) x1
Zn (0.500, 0.500, 0.999) x1
Cd (0.500, 0.000, 0.500) x1



No. 4
Density functional theory data (SCAN) for a PBEsol-optimized structure of YZn2Cd.

- energy of formation (meV per atom) = -263
- DOS(E_F) (states/eV/f.u.) = 2.84
- total magnetic moment (μB per atom) = 0.00

abc: 4.484 4.484 3.941
angles: 90.00 90.00 90.00
Space group P4/mmm (No. 123)
Inequivalent atoms, fractional coordinates:
Y (0.000, 0.000, 0.000) x1
Zn (0.000, 0.500, 0.500) x2
Cd (0.500, 0.500, 0.000) x1



No. 5
Density functional theory data (SCAN) for a PBEsol-optimized structure of Y2ZrCd.

- energy of formation (meV per atom) = -164
- DOS(E_F) (states/eV/f.u.) = 3.35
- total magnetic moment (μB per atom) = 0.00

abc: 3.399 3.399 8.776
angles: 90.00 90.00 90.00
Space group P4/mmm (No. 123)
Inequivalent atoms, fractional coordinates:
Y (0.000, 0.000, 0.244) x2
Zr (0.500, 0.500, 0.500) x1
Cd (0.500, 0.500, 0.000) x1



No. 6
Density functional theory data (SCAN) for a PBEsol-optimized structure of YZrCd4.

- energy of formation (meV per atom) = -261
- DOS(E_F) (states/eV/f.u.) = 4.02
- total magnetic moment (μB per atom) = 0.36

abc: 8.045 8.045 8.045
angles: 90.00 90.00 90.00
Space group F-43m (No. 216)
Inequivalent atoms, fractional coordinates:
Y (0.000, 0.000, 0.000) x4
Zr (0.250, 0.250, 0.250) x4
Cd (0.125, 0.125, 0.625) x16



No. 7
Density functional theory data (SCAN) for a PBEsol-optimized structure of YZr2Cd.

- energy of formation (meV per atom) = -8
- DOS(E_F) (states/eV/f.u.) = 3.55
- total magnetic moment (μB per atom) = 0.00

abc: 10.488 3.212 5.653
angles: 90.00 100.91 90.00
Space group Cm (No. 8)
Inequivalent atoms, fractional coordinates:
Y (0.000, 0.000, 0.000) x2
Zr (0.018, 0.500, 0.493) x2
Zr (0.271, 0.500, 0.327) x2
Cd (0.251, 0.000, 0.786) x2



No. 8
Density functional theory data (SCAN) for a PBEsol-optimized structure of YZr2Cd.

- energy of formation (meV per atom) = -109
- DOS(E_F) (states/eV/f.u.) = 4.32
- total magnetic moment (μB per atom) = 0.00

abc: 3.208 3.208 9.028
angles: 90.00 90.00 90.00
Space group P4mm (No. 99)
Inequivalent atoms, fractional coordinates:
Y (0.000, 0.000, 0.000) x1
Zr (0.000, 0.000, 0.510) x1
Zr (0.500, 0.500, 0.273) x1
Cd (0.500, 0.500, 0.745) x1



No. 9
Density functional theory data (SCAN) for a PBEsol-optimized structure of YZrCd2.

- energy of formation (meV per atom) = -274
- DOS(E_F) (states/eV/f.u.) = 3.10
- total magnetic moment (μB per atom) = 0.00

abc: 3.246 4.186 6.634
angles: 90.00 90.00 90.00
Space group Pmmm (No. 47)
Inequivalent atoms, fractional coordinates:
Y (0.000, 0.000, 0.000) x1
Zr (0.000, 0.000, 0.500) x1
Cd (0.500, 0.500, 0.268) x2



No. 10
Density functional theory data (SCAN) for a PBEsol-optimized structure of Y2ZrCd.

- energy of formation (meV per atom) = -36
- DOS(E_F) (states/eV/f.u.) = 4.74
- total magnetic moment (μB per atom) = 0.27

abc: 7.094 8.365 3.389
angles: 90.00 90.00 90.00
Space group Cmmm (No. 65)
Inequivalent atoms, fractional coordinates:
Y (0.250, 0.250, 0.000) x4
Zr (0.000, 0.000, 0.500) x2
Cd (0.000, 0.500, 0.500) x2



No. 11
Density functional theory data (SCAN) for a PBEsol-optimized structure of Y2ZrCd.

- energy of formation (meV per atom) = -117
- DOS(E_F) (states/eV/f.u.) = 4.84
- total magnetic moment (μB per atom) = 0.00

abc: 11.886 3.401 5.466
angles: 90.00 113.09 90.00
Space group Cm (No. 8)
Inequivalent atoms, fractional coordinates:
Y (0.000, 0.000, 0.000) x2
Y (0.216, 0.000, 0.626) x2
Zr (0.448, 0.000, 0.460) x2
Cd (0.237, 0.500, 0.124) x2



No. 12
Density functional theory data (SCAN) for a PBEsol-optimized structure of Zn3Cd.

- energy of formation (meV per atom) = 94
- DOS(E_F) (states/eV/f.u.) = 1.08
- total magnetic moment (μB per atom) = 0.00

abc: 5.054 5.054 5.054
angles: 90.00 90.00 90.00
Space group Pm-3n (No. 223)
Inequivalent atoms, fractional coordinates:
Zn (0.000, 0.250, 0.500) x6
Cd (0.000, 0.000, 0.000) x2



- Among the records above, which one has the lowest DOS(E_F)?
  Zn3Cd



- total magnetic moment of number 4 (YZn2Cd)?
  0.00 μB per atom



Please write out number 8 again, unchanged.
Density functional theory data (SCAN) for a PBEsol-optimized structure of YZr2Cd.

- energy of formation (meV per atom) = -109
- DOS(E_F) (states/eV/f.u.) = 4.32
- total magnetic moment (μB per atom) = 0.00

abc: 3.208 3.208 9.028
angles: 90.00 90.00 90.00
Space group P4mm (No. 99)
Inequivalent atoms, fractional coordinates:
Y (0.000, 0.000, 0.000) x1
Zr (0.000, 0.000, 0.510) x1
Zr (0.500, 0.500, 0.273) x1
Cd (0.500, 0.500, 0.745) x1